# 1
This record from the Alexandria database describes crystalline UZnMoO6 at its relaxed geometry. The functional is PBE with a Hubbard U.

Unit cell a=5.2816 b=5.2816 c=9.3296 alpha=90.00 beta=90.00 gamma=120.00
Closest atoms and distances in Å follow each position.
Space group P-31c (No. 163)
Asymmetric unit:
U1 0.3333 0.6667 0.2500 [2 per cell]  6 O 2.10
Zn1 0.3333 0.6667 0.7500 [2 per cell]  6 O 2.14
Mo1 0.0000 0.0000 0.0000 [2 per cell]  6 O 2.08
O1 0.0066 0.3263 0.1277 [12 per cell]  1 Mo 2.08, 1 U 2.10, 1 Zn 2.14

Output
The total energy comes out at -137.76 eV per cell.

=====

# 2
This record from the Alexandria database describes crystalline VMoO3 at its relaxed geometry. The functional is PBE with a Hubbard U.

Unit cell a=11.6801 b=3.4563 c=6.0617 alpha=90.00 beta=98.38 gamma=90.00
Closest atoms and distances in Å follow each position.
Space group C2/m (No. 12)
Asymmetric unit:
V1 0.1344 0.0000 0.3765 [4 per cell]  6 O 2.11-2.15
Mo1 0.1241 0.5000 0.8838 [4 per cell]  6 O 2.05-2.28
O1 0.0527 0.5000 0.2096 [4 per cell]  2 Mo 2.06-2.25, 2 V 2.15
O2 0.1787 0.0000 0.0465 [4 per cell]  3 Mo 2.05-2.28, 1 V 2.14
O3 0.1832 0.5000 0.5782 [4 per cell]  1 Mo 2.07, 3 V 2.11-2.15

Output
The total energy comes out at -148.58 eV per cell.

=====

# 3
This record from the Alexandria database describes crystalline VMoO3 at its relaxed geometry. The functional is PBE with a Hubbard U.

Unit cell a=3.8576 b=3.8576 c=3.8576 alpha=90.00 beta=90.00 gamma=90.00
Closest atoms and distances in Å follow each position.
Space group Pm-3m (No. 221)
Asymmetric unit:
V1 0.0000 0.0000 0.0000 [1 per cell]  6 O 1.93
Mo1 0.5000 0.5000 0.5000 [1 per cell]  12 O 2.73
O1 0.0000 0.0000 0.5000 [3 per cell]  2 V 1.93

Output
The total energy comes out at -34.93 eV per cell.

=====

# 4
This record from the Alexandria database describes crystalline VMo2O8 at its relaxed geometry. The functional is PBE with a Hubbard U.

Unit cell a=12.5818 b=6.8897 c=10.2713 alpha=90.00 beta=127.01 gamma=90.00
Closest atoms and distances in Å follow each position.
Space group C2/c (No. 15)
Asymmetric unit:
V1 0.0000 0.0217 0.2500 [4 per cell]  6 O 1.93-2.07
Mo1 0.0418 0.2812 0.5008 [8 per cell]  4 O 1.79-1.87
O1 0.0618 0.1792 0.6797 [8 per cell]  1 Mo 1.84, 1 V 1.93
O2 0.0982 0.2217 0.2066 [8 per cell]  1 Mo 1.81
O3 0.1128 0.4844 0.0263 [8 per cell]  1 Mo 1.79
O4 0.1355 0.0978 0.4727 [8 per cell]  1 Mo 1.87, 1 V 1.93

Output
The total energy comes out at -312.42 eV per cell.

=====

# 5
This record from the Alexandria database describes crystalline VMo2O2 at its relaxed geometry. The functional is PBE with a Hubbard U.

Unit cell a=5.6698 b=5.6698 c=4.1104 alpha=90.00 beta=90.00 gamma=90.00
Closest atoms and distances in Å follow each position.
Space group P4/mbm (No. 127)
Asymmetric unit:
V1 0.0000 0.0000 0.0000 [2 per cell]  4 O 2.07
Mo1 0.1788 0.3212 0.5000 [4 per cell]  2 O 2.06
O1 0.1843 0.3157 0.0000 [4 per cell]  2 Mo 2.06, 2 V 2.07

Output
The total energy comes out at -66.89 eV per cell.

=====

# 6
This record from the Alexandria database describes crystalline VMoO3 at its relaxed geometry. The functional is PBE with a Hubbard U.

Unit cell a=3.9998 b=3.9998 c=3.9998 alpha=90.00 beta=90.00 gamma=90.00
Closest atoms and distances in Å follow each position.
Space group Pm-3m (No. 221)
Asymmetric unit:
V1 0.0000 0.0000 0.0000 [1 per cell]  12 O 2.83
Mo1 0.5000 0.5000 0.5000 [1 per cell]  6 O 2.00
O1 0.0000 0.5000 0.5000 [3 per cell]  2 Mo 2.00

Output
The total energy comes out at -34.08 eV per cell.

=====

# 7
This record from the Alexandria database describes crystalline V2MoO6 at its relaxed geometry. The functional is PBE with a Hubbard U.

Unit cell a=8.6741 b=8.6741 c=4.6074 alpha=90.00 beta=90.00 gamma=120.00
Closest atoms and distances in Å follow each position.
Space group P321 (No. 150)
Asymmetric unit:
V1 0.0000 0.3139 0.0000 [3 per cell]  6 O 2.02-2.08
V2 0.0000 0.6482 0.5000 [3 per cell]  6 O 2.03-2.08
Mo1 0.0000 0.0000 0.5000 [1 per cell]  6 O 1.94
Mo2 0.3333 0.6667 0.0015 [2 per cell]  6 O 1.95
O1 0.1024 0.8859 0.2690 [6 per cell]  1 Mo 1.94, 2 V 2.02-2.08
O2 0.1173 0.5450 0.2347 [6 per cell]  1 Mo 1.95, 2 V 2.05-2.06
O3 0.2147 0.7641 0.7667 [6 per cell]  1 Mo 1.95, 2 V 2.03-2.08

Output
The total energy comes out at -204.80 eV per cell.

=====

# 8
This record from the Alexandria database describes crystalline VMo2O8 at its relaxed geometry. The functional is PBE with a Hubbard U.

Unit cell a=12.0912 b=5.6995 c=5.2677 alpha=90.00 beta=93.39 gamma=90.00
Closest atoms and distances in Å follow each position.
Space group C2/m (No. 12)
Asymmetric unit:
V1 0.0000 0.0000 0.0000 [2 per cell]  6 O 1.85-2.05
Mo1 0.1551 0.0000 0.6230 [4 per cell]  4 O 1.73-1.87
O1 0.0975 0.0000 0.2846 [4 per cell]  1 V 1.85, 1 Mo 1.87
O2 0.0992 0.2292 0.8160 [8 per cell]  1 Mo 1.81
O3 0.2013 0.5000 0.3679 [4 per cell]  1 Mo 1.73

Output
The total energy comes out at -155.38 eV per cell.

=====

# 9
This record from the Alexandria database describes crystalline VMo2O6 at its relaxed geometry. The functional is PBE with a Hubbard U.

Unit cell a=4.6713 b=4.6713 c=9.5273 alpha=90.00 beta=90.00 gamma=90.00
Closest atoms and distances in Å follow each position.
Space group P4_2/mnm (No. 136)
Asymmetric unit:
V1 0.0000 0.0000 0.0000 [2 per cell]  6 O 1.92-2.02
Mo1 0.0000 0.0000 0.3334 [4 per cell]  6 O 2.01-2.11
O1 0.1952 0.1952 0.1632 [8 per cell]  2 Mo 2.01-2.07, 1 V 2.02
O2 0.2097 0.2097 0.5000 [4 per cell]  1 V 1.92, 2 Mo 2.11

Output
The total energy comes out at -135.59 eV per cell.

=====

Copy entry 2 word for word.
This record from the Alexandria database describes crystalline VMoO3 at its relaxed geometry. The functional is PBE with a Hubbard U.

Unit cell a=11.6801 b=3.4563 c=6.0617 alpha=90.00 beta=98.38 gamma=90.00
Closest atoms and distances in Å follow each position.
Space group C2/m (No. 12)
Asymmetric unit:
V1 0.1344 0.0000 0.3765 [4 per cell]  6 O 2.11-2.15
Mo1 0.1241 0.5000 0.8838 [4 per cell]  6 O 2.05-2.28
O1 0.0527 0.5000 0.2096 [4 per cell]  2 Mo 2.06-2.25, 2 V 2.15
O2 0.1787 0.0000 0.0465 [4 per cell]  3 Mo 2.05-2.28, 1 V 2.14
O3 0.1832 0.5000 0.5782 [4 per cell]  1 Mo 2.07, 3 V 2.11-2.15

Output
The total energy comes out at -148.58 eV per cell.